[1]
Entry from Alexandria via LeMat-Bulk: Y2SiTe at its PBEsol-relaxed geometry (meta-GGA SCAN).

The structure in CIF format:
```
data_Y2SiTe
_cell_length_a 4.5706
_cell_length_b 5.5345
_cell_length_c 7.6996
_cell_angle_alpha 90.00
_cell_angle_beta 90.00
_cell_angle_gamma 90.00
_symmetry_space_group_name_H-M 'C m m m'
_symmetry_Int_Tables_number 65
_symmetry_space_group_name_Hall '-C 2 2'
loop_
_atom_site_label
_atom_site_type_symbol
_atom_site_fract_x
_atom_site_fract_y
_atom_site_fract_z
_atom_site_occupancy
Y1 Y 0.0000 0.0000 0.2319 1
Si1 Si 0.0000 0.5000 0.0000 1
Te1 Te 0.0000 0.5000 0.5000 1
```

Summary:
Distance to the lowest polymorph of the same formula in kJ/mol of atoms: 37.3

***

[2]
Entry from Alexandria via LeMat-Bulk: Zr2HgPb at its PBEsol-relaxed geometry (meta-GGA SCAN).

The structure in CIF format:
```
data_Zr2HgPb
_cell_length_a 6.3247
_cell_length_b 8.4603
_cell_length_c 3.2125
_cell_angle_alpha 90.00
_cell_angle_beta 90.00
_cell_angle_gamma 90.00
_symmetry_space_group_name_H-M 'C m m m'
_symmetry_Int_Tables_number 65
_symmetry_space_group_name_Hall '-C 2 2'
loop_
_atom_site_label
_atom_site_type_symbol
_atom_site_fract_x
_atom_site_fract_y
_atom_site_fract_z
_atom_site_occupancy
Zr1 Zr 0.2500 0.2500 0.0000 1
Hg1 Hg 0.0000 0.0000 0.5000 1
Pb1 Pb 0.0000 0.5000 0.5000 1
```

Summary:
Formation enthalpy at 0 K in eV per formula unit: -1.45
Distance to the lowest polymorph of the same formula in kJ/mol of atoms: 1.8

***

[3]
Entry from Alexandria via LeMat-Bulk: LaAlPCl2 at its PBEsol-relaxed geometry (meta-GGA SCAN).

The structure in CIF format:
```
data_LaAlPCl2
_cell_length_a 4.6624
_cell_length_b 4.6624
_cell_length_c 4.8733
_cell_angle_alpha 90.00
_cell_angle_beta 90.00
_cell_angle_gamma 90.00
_symmetry_space_group_name_H-M 'P 4/m m m'
_symmetry_Int_Tables_number 123
_symmetry_space_group_name_Hall '-P 4 2'
loop_
_atom_site_label
_atom_site_type_symbol
_atom_site_fract_x
_atom_site_fract_y
_atom_site_fract_z
_atom_site_occupancy
La1 La 0.0000 0.0000 0.0000 1
Al1 Al 0.5000 0.5000 0.5000 1
P1 P 0.5000 0.5000 0.0000 1
Cl1 Cl 0.0000 0.5000 0.5000 1
```

Summary:
Distance to the lowest polymorph of the same formula in kJ/mol of atoms: 0.0

***

[4]
Entry from Alexandria via LeMat-Bulk: RbPd3S at its PBEsol-relaxed geometry (meta-GGA SCAN).

The structure in CIF format:
```
data_RbPd3S
_cell_length_a 4.6221
_cell_length_b 4.6221
_cell_length_c 4.6221
_cell_angle_alpha 90.00
_cell_angle_beta 90.00
_cell_angle_gamma 90.00
_symmetry_space_group_name_H-M 'P m -3 m'
_symmetry_Int_Tables_number 221
_symmetry_space_group_name_Hall '-P 4 2 3'
loop_
_atom_site_label
_atom_site_type_symbol
_atom_site_fract_x
_atom_site_fract_y
_atom_site_fract_z
_atom_site_occupancy
Rb1 Rb 0.0000 0.0000 0.0000 1
Pd1 Pd 0.0000 0.5000 0.5000 1
S1 S 0.5000 0.5000 0.5000 1
```

Summary:
DFT total energy in eV/atom: -25.947

***

- Number 1 is which compound?
  Y2SiTe

***

- Which formula does entry 3 have?
  LaAlPCl2